1.
# CeZnGa2Pd2

CeZnGa2Pd2 after structural relaxation (GGA-PBE, the Alexandria database).

Cell lengths 4.606, 4.606, 5.676 Å; angles 90.00, 90.00, 90.00 degrees
Last column: magnetic moment on the atom in μB.
Fractional coordinates of all 6 atoms:
Ga 0.500 0.000 0.000  0.00
Ga 0.000 0.500 0.000  0.00
Zn 0.000 0.000 0.000  0.01
Pd 0.500 0.500 0.744  -0.01
Pd 0.500 0.500 0.256  -0.01
Ce 0.000 0.000 0.500  0.86

Output
Formation enthalpy at 0 K, eV per atom: -0.158
SG: P4/mmm
VASP energy, eV per atom: -4.100
M_tot, μB per formula unit: 0.96

***

2.
# AsRhSe2O

AsRhSe2O after structural relaxation (GGA-PBE, the Alexandria database).

Cell lengths 4.429, 4.429, 4.274 Å; angles 90.00, 90.00, 90.00 degrees
Fractional coordinates of all 5 atoms:
Se 0.000 0.500 0.000
Se 0.500 0.000 0.000
O 0.000 0.000 0.000
Rh 0.500 0.500 0.500
As 0.000 0.000 0.500

Output
SG: P4/mmm
Polymorph energy (0 for the lowest one), meV/atom: 0
VASP energy, eV per atom: -4.260
M_tot, μB per formula unit: 0.00
Formation energy from raw total energies, eV per atom: 0.526

***

3.
# CeTh2Rh9

CeTh2Rh9 after structural relaxation (GGA-PBE, the Alexandria database).

Cell lengths 4.112, 4.112, 12.322 Å; angles 90.00, 90.00, 90.00 degrees
Fractional coordinates of all 12 atoms:
Rh 0.500 0.500 0.669
Rh 0.500 0.000 0.838
Rh 0.500 0.500 0.331
Rh 0.000 0.500 0.162
Rh 0.500 0.500 0.000
Rh 0.000 0.500 0.838
Rh 0.500 0.000 0.500
Rh 0.500 0.000 0.162
Rh 0.000 0.500 0.500
Th 0.000 0.000 0.332
Th 0.000 0.000 0.668
Ce 0.000 0.000 0.000

Output
Formation enthalpy at 0 K, eV per atom: -0.684
SG: P4/mmm
Polymorph energy (0 for the lowest one), meV/atom: 0
VASP energy, eV per atom: -7.929
M_tot, μB per formula unit: 0.00

***

4.
# BaCrAs

BaCrAs after structural relaxation (GGA-PBE, the Alexandria database).

Cell lengths 5.112, 5.112, 5.112 Å; angles 60.00, 60.00, 60.00 degrees
Last column: magnetic moment on the atom in μB.
Fractional coordinates of all 3 atoms:
Ba 0.000 0.000 0.000  0.08
As 0.750 0.750 0.750  -0.10
Cr 0.500 0.500 0.500  4.14

Output
Formation enthalpy at 0 K, eV per atom: -0.080
SG: F-43m
VASP energy, eV per atom: -5.479
M_tot, μB per formula unit: 5.00

***

5.
# TaTi2Be2Co5

TaTi2Be2Co5 after structural relaxation (GGA-PBE, the Alexandria database).

Cell lengths 3.182, 8.556, 8.556 Å; angles 90.00, 90.00, 90.00 degrees
Fractional coordinates of all 20 atoms:
Ti 0.000 0.826 0.674
Ti 0.000 0.674 0.174
Ti 0.000 0.174 0.326
Ti 0.000 0.326 0.826
Co 0.500 0.284 0.571
Co 0.500 0.716 0.429
Co 0.500 0.571 0.716
Co 0.500 0.000 0.500
Co 0.500 0.429 0.284
Co 0.500 0.216 0.071
Co 0.500 0.929 0.216
Co 0.500 0.500 0.000
Co 0.500 0.784 0.929
Co 0.500 0.071 0.784
Ta 0.000 0.000 0.000
Ta 0.000 0.500 0.500
Be 0.000 0.380 0.120
Be 0.000 0.880 0.380
Be 0.000 0.120 0.620
Be 0.000 0.620 0.880

Output
Formation enthalpy at 0 K, eV per atom: -0.381
SG: P4/mbm
VASP energy, eV per atom: -7.443
M_tot, μB per formula unit: 0.00

***

6.
# Zn3CdRh

Zn3CdRh after structural relaxation (GGA-PBE, the Alexandria database).

Cell lengths 4.796, 4.796, 4.796 Å; angles 90.00, 90.00, 90.00 degrees
Fractional coordinates of all 5 atoms:
Zn 0.000 0.500 0.000
Zn 0.000 0.000 0.500
Zn 0.500 0.000 0.000
Cd 0.500 0.500 0.500
Rh 0.000 0.000 0.000

Output
Formation enthalpy at 0 K, eV per atom: 0.160
SG: Pm-3m
Polymorph energy (0 for the lowest one), meV/atom: 0
VASP energy, eV per atom: -2.258
M_tot, μB per formula unit: 0.00